This record from Alexandria via LeMat-Bulk describes a relaxed structure of CeHo2Au3. The functional is GGA-PBE.

Volume, A^3/atom: 23.7
D(E_F), states/eV per atom: 1.4175
Crystal system: tetragonal
Space-group type: P4/mmm
Size of the total moment, μB per cell: 1.24
E_tot, eV/atom: -4.9352
Formation energy, eV/f.u.: -4.69

a b c (Å): 3.5810 3.5810 11.1050
angles (deg): 90.00 90.00 90.00
Last column: magnetic moment on the atom in μB.
Sites, in units of the cell vectors:
Ce 0.5000 0.5000 0.5000  0.97
Ho 0.5000 0.5000 0.1623  0.01
Ho 0.5000 0.5000 0.8377  0.01
Au 0.0000 0.0000 0.0000  0.00
Au 0.0000 0.0000 0.6835  0.00
Au 0.0000 0.0000 0.3165  0.00